Record 1
Density functional theory data (PBE-GGA) for TiHgSbTe2 after structural relaxation.

a b c (Å): 5.3285 5.3285 5.4004
angles (deg): 90.00 90.00 90.00
Sites, in units of the cell vectors:
Ti 0.0000 0.0000 0.0000
Hg 0.5000 0.5000 0.5000
Sb 0.0000 0.0000 0.5000
Te 0.0000 0.5000 0.0000
Te 0.5000 0.0000 0.0000

Values from the calculation:
SG = P4/mmm
ΔE_f (raw) = -0.02 eV/atom

=====

Record 2
Density functional theory data (PBE-GGA) for Zr2CrOs after structural relaxation.

a b c (Å): 3.2982 4.3579 4.8180
angles (deg): 90.00 90.00 90.00
Sites, in units of the cell vectors:
Zr 0.0000 0.0000 0.0000
Zr 0.5000 0.0000 0.5000
Cr 0.0000 0.5000 0.5000
Os 0.5000 0.5000 0.0000

Values from the calculation:
SG = Pmmm
Total energy = -9.382 eV per atom

=====

Record 3
Density functional theory data (PBE-GGA) for MgBeAl2Pt after structural relaxation.

a b c (Å): 4.3250 4.3250 4.3765
angles (deg): 90.00 90.00 90.00
Sites, in units of the cell vectors:
Mg 0.0000 0.0000 0.0000
Be 0.5000 0.5000 0.5000
Al 0.0000 0.5000 0.5000
Al 0.5000 0.0000 0.5000
Pt 0.5000 0.5000 0.0000

Values from the calculation:
SG = P4/mmm
Total energy = -3.775 eV per atom

=====

Q: Which formula does entry 3 have?
A: MgBeAl2Pt